## A
Below is YRuN2 after structural relaxation, with properties calculated at the PBE-GGA level.

POSCAR file:
```
YRuN2
1.0
1.808 1.044 5.799
-1.808 1.044 5.799
0.000 -2.088 5.799
Y Ru N
1 1 2
direct
0.000 0.000 0.000
0.500 0.500 0.500
0.396 0.396 0.396
0.604 0.604 0.604
```

**DOS at the Fermi energy**: 1.77 states/eV/cell
**Magnetization**: 0.00 μB/f.u.
**Space group**: R-3m (166)

=====

## B
Below is YRuN2 after structural relaxation, with properties calculated at the PBE-GGA level.

POSCAR file:
```
YRuN2
1.0
1.709 0.986 5.758
-1.709 0.986 5.758
0.000 -1.973 5.758
Y Ru N
1 1 2
direct
0.000 0.000 0.000
0.500 0.500 0.500
0.127 0.127 0.127
0.873 0.873 0.873
```

**DOS at the Fermi energy**: 3.02 states/eV/cell
**Magnetization**: 0.00 μB/f.u.
**Space group**: R-3m (166)

=====

Relative calculated energies, zero for the most stable structure, unit kJ/mol of atoms: A 0.0; B 54.3.

=====

## A
Below is Zn2Ru2N after structural relaxation, with properties calculated at the PBE-GGA level.

POSCAR file:
```
Zn2Ru2N
1.0
5.495 0.000 0.000
0.000 5.495 0.000
0.000 0.000 4.452
Zn Ru N
4 4 2
direct
0.155 0.345 0.000
0.345 0.845 0.000
0.655 0.155 0.000
0.845 0.655 0.000
0.181 0.681 0.500
0.319 0.181 0.500
0.681 0.819 0.500
0.819 0.319 0.500
0.000 0.000 0.500
0.500 0.500 0.500
```

**DOS at the Fermi energy**: 6.97 states/eV/cell
**Magnetization**: 0.00 μB/f.u.
**Space group**: P4/mbm (127)

=====

## B
Below is Zn2Ru2N after structural relaxation, with properties calculated at the PBE-GGA level.

POSCAR file:
```
Zn2Ru2N
1.0
-1.580 1.580 6.776
1.580 -1.580 6.776
1.580 1.580 -6.776
Zn Ru N
2 2 1
direct
0.250 0.750 0.500
0.750 0.250 0.500
0.090 0.090 0.000
0.910 0.910 0.000
0.500 0.500 0.000
```

**DOS at the Fermi energy**: 5.35 states/eV/cell
**Magnetization**: 1.91 μB/f.u.
**Space group**: I4/mmm (139)

=====

Relative calculated energies, zero for the most stable structure, unit kJ/mol of atoms: A 0.0; B 95.4.